Material: Cr3Te2Se2
Method: DFT, PBE-GGA
State: optimized geometry

a b c (Å): 13.733 3.889 6.678
angles (deg): 90.00 117.07 90.00
Positions (direct):
Cr (0.000, 0.000, 0.000)
Cr (0.238, 0.500, 0.775)
Cr (0.262, 0.000, 0.225)
Cr (0.500, 0.500, 0.000)
Cr (0.738, 0.000, 0.775)
Cr (0.762, 0.500, 0.225)
Te (0.131, 0.500, 0.301)
Te (0.369, 0.000, 0.699)
Te (0.631, 0.000, 0.301)
Te (0.869, 0.500, 0.699)
Se (0.128, 0.000, 0.811)
Se (0.372, 0.500, 0.189)
Se (0.628, 0.500, 0.811)
Se (0.872, 0.000, 0.189)

symmetry = C2/m
DOS(E_F) = 0.320 states/eV/atom
uncorrected formation energy = -0.35 eV per atom
V = 22.7 Å³/atom
VASP energy = -6.367 eV/atom